Version P
This record from the Alexandria database describes Ta2SiCl after structural relaxation. The functional is PBE.

Cell and atoms, written as extended XYZ:
```
4
Lattice="1.754 -2.338 0.000 1.754 2.338 0.000 0.000 0.000 9.694" Properties=species:S:1:pos:R:3 pbc="T T T"
Ta 0.000 0.000 0.000
Ta 1.754 0.000 2.261
Si 0.000 0.000 4.263
Cl 1.754 0.000 7.840
```

Results
magnetization = 0.000 μB/f.u.
SG = Cmm2

Version Q
This record from the Alexandria database describes Ta2SiCl after structural relaxation. The functional is PBE.

Cell and atoms, written as extended XYZ:
```
4
Lattice="2.867 0.000 0.000 0.000 2.867 0.000 0.000 0.000 9.635" Properties=species:S:1:pos:R:3 pbc="T T T"
Ta 0.000 0.000 0.000
Ta 1.433 1.433 2.236
Si 1.433 1.433 7.584
Cl 0.000 0.000 3.975
```

Results
magnetization = 0.000 μB/f.u.
SG = P4mm

Relative stability in meV per atom, measured from the most stable structure: version P 0; version Q 40